Na2Co2IO6 | PBE+U | relaxed

Total energy in eV/atom: -5.000
Magnetic moment in μB/f.u.: 6.48

Unit cell a=5.391 b=5.391 c=5.882 alpha=99.65 beta=99.65 gamma=119.22
Fractional coordinates of all 11 atoms:
O  0.612  0.939  0.305
Co  0.665  0.335  0.500
O  0.388  0.061  0.695
I  0.000  0.000  0.500
Na  0.175  0.825  0.000
O  0.061  0.388  0.695
O  0.939  0.612  0.305
Co  0.335  0.665  0.500
O  0.754  0.754  0.696
Na  0.825  0.175  0.000
O  0.246  0.246  0.304